Entry 1:
A relaxed structure of BeAlF6. Source: the Alexandria database, functional PBE.

Cell lengths 5.0189, 5.0189, 12.3275 Å; angles 90.00, 90.00, 120.00 degrees
Space group R-3 (No. 148, hexagonal axes)
Asymmetric unit:
Be: 0.0000 0.0000 0.0000 (multiplicity 3)
Al: 0.0000 0.0000 0.5000 (multiplicity 3)
F: 0.0066 0.5046 0.7484 (multiplicity 18)

Output
Raw total energy: -5.15 eV per atom
Calculated volume: 268.9 Å³/cell
Raw formation energy: -2813 meV per atom
Total magnetic moment: 0.96 μB/f.u.

---

Entry 2:
A relaxed structure of SiTeCl2. Source: the Alexandria database, functional PBE.

Cell lengths 6.365, 6.526, 9.290 Å; angles 90.00, 90.00, 90.00 degrees
Space group Fmmm (No. 69)
Asymmetric unit:
Si: 0.000 0.000 0.000 (multiplicity 4)
Te: 0.000 0.000 0.500 (multiplicity 4)
Cl: 0.000 0.250 0.250 (multiplicity 8)

Output
Raw total energy: -2.96 eV per atom
Calculated volume: 385.9 Å³/cell
Raw formation energy: 105 meV per atom
Excess energy over the best structure of this formula in the dataset: 165 kJ/mol of formula units
Total magnetic moment: 0.00 μB/f.u.